## Ac2FeAg3O6 (GGA+U)

Data for a relaxed structure of Ac2FeAg3O6.

Properties
DOS(E_F)	0.0000	states/eV per atom
uncorrected energy	-6.03	eV per atom
magnetic moment	4.928	μB/f.u.
space group	C2/m

Lattice parameters (Å, degrees): 6.3842 6.3842 6.5835 80.83 80.83 120.32
Positions (direct):
O 0.6537 0.6537 0.1695
O 0.2287 0.9447 0.1677
O 0.3463 0.3463 0.8305
O 0.9447 0.2287 0.1677
O 0.7713 0.0553 0.8323
O 0.0553 0.7713 0.8323
Fe 0.0000 0.0000 0.0000
Ag 0.5000 0.5000 0.5000
Ag 0.1370 0.8630 0.5000
Ag 0.8630 0.1370 0.5000
Ac 0.3330 0.6670 0.0000
Ac 0.6670 0.3330 0.0000